[1]
CeSm2Sn2Hg2 after structural relaxation, computed with PBE.

abc: 5.0402 5.0402 9.5139
angles: 74.64 74.64 60.00
Each line ends with the local moment (μB).
Element x y z (fractional)
Ce (0.0000, 0.0000, 0.0000)  0.95
Sm (0.1303, 0.1303, 0.6091)  0.05
Sm (0.8697, 0.8697, 0.3909)  0.05
Sn (0.7301, 0.7301, 0.8097)  0.01
Sn (0.2699, 0.2699, 0.1903)  0.01
Hg (0.5715, 0.5715, 0.2856)  0.01
Hg (0.4285, 0.4285, 0.7144)  0.01

Results
* N(E_F): 1.639 states/eV/atom
* raw total energy: -3.74 eV/atom
* symmetry: No. 166



[2]
BaReAu2 after structural relaxation, computed with PBE.

abc: 5.7738 5.7738 5.7738
angles: 135.37 135.37 64.96
Each line ends with the local moment (μB).
Element x y z (fractional)
Re (0.7500, 0.2500, 0.5000)  2.41
Au (0.0000, 0.0000, 0.0000)  0.02
Au (0.2500, 0.7500, 0.5000)  0.04
Ba (0.5000, 0.5000, 0.0000)  0.05

Results
* N(E_F): 0.656 states/eV/atom
* polymorph energy (0 for the lowest one): 554 meV per atom
* symmetry: No. 119



[3]
Mg2Si after structural relaxation, computed with PBE.

abc: 5.6044 6.4847 7.2244
angles: 99.40 101.92 101.99
Element x y z (fractional)
Mg (0.7215, 0.5591, 0.9410)
Mg (0.1312, 0.3513, 0.8080)
Mg (0.6296, 0.0667, 0.8847)
Mg (0.4233, 0.7974, 0.1645)
Mg (0.3732, 0.1623, 0.4978)
Mg (0.4587, 0.6539, 0.5429)
Mg (0.0694, 0.8067, 0.7321)
Mg (0.9082, 0.3595, 0.3246)
Si (0.0853, 0.0449, 0.0899)
Si (0.9785, 0.8011, 0.3112)
Si (0.4221, 0.3732, 0.1854)
Si (0.7995, 0.0238, 0.5178)

Results
* N(E_F): 0.304 states/eV/atom
* formation energy (no corrections): 0.040 eV/atom
* symmetry: No. 1



[4]
LiIn4Pb after structural relaxation, computed with PBE.

abc: 4.5735 4.5744 8.0174
angles: 90.02 89.99 90.01
Element x y z (fractional)
Li (0.0012, 0.9975, 0.4981)
In (0.5014, 0.9971, 0.2854)
In (0.5013, 0.9974, 0.7108)
In (0.0012, 0.4974, 0.7108)
In (0.0014, 0.4970, 0.2855)
Pb (0.5012, 0.4974, 0.9982)

Results
* N(E_F): 0.397 states/eV/atom
* polymorph energy (0 for the lowest one): 80 meV per atom
* symmetry: No. 123



[5]
LiB3W after structural relaxation, computed with PBE.

abc: 3.5394 3.5394 3.5394
angles: 90.00 90.00 90.00
Element x y z (fractional)
B (0.0000, 0.5000, 0.0000)
B (0.0000, 0.0000, 0.5000)
B (0.5000, 0.0000, 0.0000)
W (0.5000, 0.5000, 0.5000)
Li (0.0000, 0.0000, 0.0000)

Results
* N(E_F): 0.677 states/eV/atom
* polymorph energy (0 for the lowest one): 686 meV per atom
* symmetry: No. 221



[6]
U2TlC after structural relaxation, computed with PBE.

abc: 3.1908 3.1908 9.1025
angles: 79.91 79.91 60.00
Each line ends with the local moment (μB).
Element x y z (fractional)
Tl (0.5000, 0.5000, 0.5000)  -0.01
U (0.7231, 0.7231, 0.8307)  0.83
U (0.2769, 0.2769, 0.1693)  0.83
C (0.0000, 0.0000, 0.0000)  -0.04

Results
* N(E_F): 2.066 states/eV/atom
* raw total energy: -8.52 eV/atom
* symmetry: No. 166



[7]
Pr2Te3 after structural relaxation, computed with PBE.

abc: 4.4720 12.0601 12.4533
angles: 90.00 90.00 90.00
Element x y z (fractional)
Pr (0.2500, 0.1874, 0.4841)
Pr (0.2500, 0.3126, 0.9841)
Pr (0.7500, 0.8126, 0.5159)
Pr (0.7500, 0.6874, 0.0159)
Pr (0.7500, 0.5021, 0.6964)
Pr (0.7500, 0.9979, 0.1964)
Pr (0.2500, 0.4979, 0.3036)
Pr (0.2500, 0.0021, 0.8036)
Te (0.2500, 0.6227, 0.5422)
Te (0.2500, 0.8773, 0.0422)
Te (0.7500, 0.3773, 0.4578)
Te (0.7500, 0.1227, 0.9578)
Te (0.7500, 0.0573, 0.6199)
Te (0.7500, 0.4427, 0.1199)
Te (0.2500, 0.9427, 0.3801)
Te (0.2500, 0.5573, 0.8801)
Te (0.2500, 0.3011, 0.7262)
Te (0.2500, 0.1989, 0.2262)
Te (0.7500, 0.6989, 0.2738)
Te (0.7500, 0.8011, 0.7738)

Results
* N(E_F): 0.048 states/eV/atom
* formation energy (no corrections): -1.476 eV/atom
* symmetry: No. 62



[8]
Ba3U2N6 after structural relaxation, computed with PBE.

abc: 4.3636 4.3636 11.6284
angles: 100.81 100.81 90.00
Element x y z (fractional)
Ba (0.0000, 0.0000, 0.0000)
Ba (0.8133, 0.8133, 0.6266)
Ba (0.1867, 0.1867, 0.3734)
U (0.4027, 0.4027, 0.8055)
U (0.5973, 0.5973, 0.1945)
N (0.5898, 0.0898, 0.1797)
N (0.0898, 0.5898, 0.1797)
N (0.4102, 0.9102, 0.8203)
N (0.9102, 0.4102, 0.8203)
N (0.6870, 0.6870, 0.3740)
N (0.3130, 0.3130, 0.6260)

Results
* N(E_F): 0.258 states/eV/atom
* formation energy (no corrections): -1.007 eV/atom
* symmetry: No. 139



[9]
CsTlAu2 after structural relaxation, computed with PBE.

abc: 5.6927 5.6927 5.6927
angles: 60.00 60.00 60.00
Element x y z (fractional)
Cs (0.0000, 0.0000, 0.0000)
Tl (0.5000, 0.5000, 0.5000)
Au (0.2500, 0.2500, 0.2500)
Au (0.7500, 0.7500, 0.7500)

Results
* N(E_F): 0.009 states/eV/atom
* polymorph energy (0 for the lowest one): 201 meV per atom
* symmetry: No. 225



[10]
Cd5Ga2Ag12 after structural relaxation, computed with PBE.

abc: 6.6498 8.9126 7.0855
angles: 103.14 90.00 111.90
Element x y z (fractional)
Cd (0.2597, 0.5195, 0.7252)
Cd (0.2463, 0.4925, 0.2716)
Cd (0.0000, 0.0000, 0.5000)
Cd (0.7537, 0.5075, 0.7284)
Cd (0.7403, 0.4805, 0.2748)
Ga (0.6860, 0.0000, 0.0000)
Ga (0.3140, 0.0000, 0.0000)
Ag (0.0714, 0.1429, 0.1692)
Ag (0.0782, 0.6847, 0.0714)
Ag (0.6065, 0.6847, 0.0714)
Ag (0.1476, 0.7415, 0.5347)
Ag (0.5939, 0.7415, 0.5347)
Ag (0.5354, 0.0708, 0.6964)
Ag (0.4646, 0.9292, 0.3036)
Ag (0.8524, 0.2585, 0.4653)
Ag (0.4061, 0.2585, 0.4653)
Ag (0.9218, 0.3153, 0.9286)
Ag (0.3935, 0.3153, 0.9286)
Ag (0.9286, 0.8571, 0.8308)

Results
* N(E_F): 0.326 states/eV/atom
* polymorph energy (0 for the lowest one): 66 meV per atom
* symmetry: No. 12



[11]
DyTl2Pd after structural relaxation, computed with PBE.

abc: 3.4503 3.4503 10.6083
angles: 80.64 80.64 60.00
Element x y z (fractional)
Tl (0.1002, 0.1002, 0.6993)
Tl (0.8998, 0.8998, 0.3007)
Pd (0.5000, 0.5000, 0.5000)
Dy (0.0000, 0.0000, 0.0000)

Results
* N(E_F): 0.607 states/eV/atom
* raw total energy: -3.56 eV/atom
* symmetry: No. 166



[12]
Th3Pa2Tc4 after structural relaxation, computed with PBE.

abc: 4.3325 5.9832 8.9708
angles: 99.31 90.00 111.23
Element x y z (fractional)
Th (0.3776, 0.7551, 0.6148)
Th (0.0000, 0.0000, 0.0000)
Th (0.6224, 0.2449, 0.3852)
Pa (0.3219, 0.6439, 0.2186)
Pa (0.6781, 0.3561, 0.7814)
Tc (0.7087, 0.4174, 0.0943)
Tc (0.0867, 0.1734, 0.6453)
Tc (0.9133, 0.8266, 0.3547)
Tc (0.2913, 0.5826, 0.9057)

Results
* N(E_F): 0.769 states/eV/atom
* raw total energy: -9.43 eV/atom
* symmetry: No. 12